[1]
Density functional theory data (PBE) for YHfCu3 after structural relaxation.

Results
ΔE_f, meV per atom: 1151
Total magnetic moment, μB/cell: 0.0

Unit cell a=4.765 b=4.765 c=4.765 alpha=90.00 beta=90.00 gamma=90.00
Space group Pm-3m (No. 221)
Symmetry-distinct sites (fractional):
Y: 0.000 0.000 0.000 [1 per cell]
Hf: 0.500 0.500 0.500 [1 per cell]
Cu: 0.000 0.000 0.500 [3 per cell]

[2]
Density functional theory data (PBE) for YHfCu after structural relaxation.

Results
ΔE_f, meV per atom: -24
Total magnetic moment, μB/cell: 0.0

Unit cell a=6.766 b=3.304 c=11.482 alpha=90.00 beta=90.00 gamma=90.00
Space group Pnma (No. 62)
Symmetry-distinct sites (fractional):
Y: 0.136 0.250 0.101 [4 per cell]
Hf: 0.109 0.250 0.403 [4 per cell]
Cu: 0.133 0.250 0.763 [4 per cell]

[3]
Density functional theory data (PBE) for YHfCu after structural relaxation.

Results
ΔE_f, meV per atom: -92
Total magnetic moment, μB/cell: 0.0

Unit cell a=4.440 b=4.440 c=13.667 alpha=90.00 beta=90.00 gamma=90.00
Space group I4/mmm (No. 139)
Symmetry-distinct sites (fractional):
Y: 0.000 0.000 0.184 [4 per cell]
Hf: 0.000 0.500 0.000 [4 per cell]
Cu: 0.000 0.000 0.386 [4 per cell]

[4]
Density functional theory data (PBE) for YHfCu2 after structural relaxation.

Results
ΔE_f, meV per atom: -83
Total magnetic moment, μB/cell: 0.0

Unit cell a=6.712 b=6.712 c=6.712 alpha=90.00 beta=90.00 gamma=90.00
Space group Fm-3m (No. 225)
Symmetry-distinct sites (fractional):
Y: 0.000 0.000 0.000 [4 per cell]
Hf: 0.000 0.000 0.500 [4 per cell]
Cu: 0.250 0.250 0.250 [8 per cell]

[5]
Density functional theory data (PBE) for YHfCu after structural relaxation.

Results
ΔE_f, meV per atom: 6
Total magnetic moment, μB/cell: 0.0

Unit cell a=4.804 b=5.800 c=5.906 alpha=96.76 beta=113.39 gamma=113.99
Space group P1 (No. 1)
Symmetry-distinct sites (fractional):
Y: 0.000 0.000 0.000 [1 per cell]
Y: 0.398 0.648 0.142 [1 per cell]
Hf: 0.250 0.932 0.570 [1 per cell]
Hf: 0.878 0.299 0.477 [1 per cell]
Cu: 0.541 0.505 0.608 [1 per cell]
Cu: 0.678 0.348 0.998 [1 per cell]

[6]
Density functional theory data (PBE) for YHfCu after structural relaxation.

Results
ΔE_f, meV per atom: 18
Total magnetic moment, μB/cell: 0.0

Unit cell a=9.168 b=5.294 c=6.952 alpha=90.00 beta=130.32 gamma=90.00
Space group Cm (No. 8)
Symmetry-distinct sites (fractional):
Y: 0.000 0.000 0.000 [2 per cell]
Y: 0.189 0.000 0.700 [2 per cell]
Hf: 0.012 0.500 0.673 [2 per cell]
Hf: 0.209 0.500 0.416 [2 per cell]
Cu: 0.351 0.251 0.209 [4 per cell]

[7]
Density functional theory data (PBE) for HfZnCu2 after structural relaxation.

Results
ΔE_f, meV per atom: 259
Total magnetic moment, μB/cell: 0.0

Unit cell a=3.892 b=3.892 c=17.514 alpha=90.00 beta=90.00 gamma=90.00
Space group I-42d (No. 122)
Symmetry-distinct sites (fractional):
Hf: 0.000 0.000 0.000 [4 per cell]
Zn: 0.000 0.000 0.500 [4 per cell]
Cu: 0.203 0.250 0.625 [8 per cell]

[8]
Density functional theory data (PBE) for HfZnCu after structural relaxation.

Results
ΔE_f, meV per atom: -118
Total magnetic moment, μB/cell: 0.0

Unit cell a=3.031 b=3.031 c=10.448 alpha=90.00 beta=90.00 gamma=90.00
Space group I4mm (No. 107)
Symmetry-distinct sites (fractional):
Hf: 0.000 0.000 0.000 [2 per cell]
Zn: 0.000 0.000 0.690 [2 per cell]
Cu: 0.000 0.000 0.325 [2 per cell]